Record 1
{
  "formula": "LiCrCu2",
  "functional": "GGA-PBE",
  "state": "optimized geometry",
  "cell": [[4.327, -1.225, 0.000], [4.327, 1.225, 0.000], [-0.548, 0.000, 4.709]],
  "species": ["Li", "Cr", "Cu", "Cu"],
  "fractional_positions": [[0.000, 0.000, 0.000], [0.500, 0.500, 0.500], [0.246, 0.246, 0.749], [0.754, 0.754, 0.251]],
  "formation_energy_mev_per_atom": 330,
  "e_above_lowest_polymorph_mev_per_atom": 155
}

=====

Record 2
{
  "formula": "Fe2Pd2Ru",
  "functional": "GGA-PBE",
  "state": "optimized geometry",
  "cell": [[5.928, 0.000, 0.000], [0.000, 5.928, 0.000], [0.000, 0.000, 3.922]],
  "species": ["Fe", "Fe", "Fe", "Fe", "Pd", "Pd", "Pd", "Pd", "Ru", "Ru"],
  "fractional_positions": [[0.123, 0.377, 0.000], [0.377, 0.877, 0.000], [0.623, 0.123, 0.000], [0.877, 0.623, 0.000], [0.175, 0.675, 0.500], [0.325, 0.175, 0.500], [0.675, 0.825, 0.500], [0.825, 0.325, 0.500], [0.000, 0.000, 0.000], [0.500, 0.500, 0.000]],
  "formation_energy_mev_per_atom": 433
}